# NiGeH2, optimized geometry, DFT GGA-PBE
data_NiGeH2
_symmetry_space_group_name_H-M 'I -4 2 d'
_symmetry_Int_Tables_number 122
_symmetry_space_group_name_Hall 'I -4 2bw'
_cell_length_a 4.408
_cell_length_b 4.408
_cell_length_c 8.091
_cell_angle_alpha 90.00
_cell_angle_beta 90.00
_cell_angle_gamma 90.00
loop_
_atom_site_label
_atom_site_type_symbol
_atom_site_fract_x
_atom_site_fract_y
_atom_site_fract_z
Ni1 Ni 0.000 0.000 0.000
Ge1 Ge 0.000 0.000 0.500
H1 H 0.119 0.250 0.125
# Calculated density, kg/m³: 5634
# Polymorph energy (0 for the lowest one), kJ/mol of atoms: 0.0